Entry 1:
## CsRbVS3 (GGA-PBE)

Data for crystalline CsRbVS3 at its relaxed geometry.

Output
Formation energy from raw total energies = -1019 meV/atom
Energy = -58.9 eV for the cell shown
Theoretical density = 3.1 Mg/m³
Density of states at the Fermi level = 0.2757 states/eV per atom

```
data_CsRbVS3
_chemical_formula_sum 'Cs2 Rb2 V2 S6'
_cell_length_a 7.835
_cell_length_b 7.835
_cell_length_c 14.524
_cell_angle_alpha 115.01
_cell_angle_beta 115.01
_cell_angle_gamma 29.40
_symmetry_space_group_name_H-M 'P 1'
_symmetry_Int_Tables_number 1
loop_
_symmetry_equiv_pos_as_xyz
'x,y,z'
loop_
_atom_site_label
_atom_site_type_symbol
_atom_site_fract_x
_atom_site_fract_y
_atom_site_fract_z
_atom_site_occupancy
Cs1 Cs 0.163 0.163 0.136 1
Cs2 Cs 0.837 0.837 0.864 1
Rb1 Rb 0.133 0.133 0.512 1
Rb2 Rb 0.867 0.867 0.488 1
V1 V 0.477 0.477 0.250 1
V2 V 0.523 0.523 0.750 1
S1 S 0.081 0.081 0.708 1
S2 S 0.363 0.363 0.665 1
S3 S 0.428 0.428 0.089 1
S4 S 0.572 0.572 0.911 1
S5 S 0.637 0.637 0.335 1
S6 S 0.919 0.919 0.292 1
```



Entry 2:
## CrTc2Rh2 (GGA-PBE)

Data for crystalline CrTc2Rh2 at its relaxed geometry.

Output
Energy = -86.5 eV for the cell shown
Theoretical density = 10.1 Mg/m³
Density of states at the Fermi level = 1.3803 states/eV per atom
Energy relative to the elements = 0.363 eV/atom

```
data_CrTc2Rh2
_chemical_formula_sum 'Cr2 Tc4 Rh4'
_cell_length_a 7.426
_cell_length_b 7.426
_cell_length_c 2.703
_cell_angle_alpha 90.00
_cell_angle_beta 90.00
_cell_angle_gamma 90.00
_symmetry_space_group_name_H-M 'P 1'
_symmetry_Int_Tables_number 1
loop_
_symmetry_equiv_pos_as_xyz
'x,y,z'
loop_
_atom_site_label
_atom_site_type_symbol
_atom_site_fract_x
_atom_site_fract_y
_atom_site_fract_z
_atom_site_occupancy
Cr1 Cr 0.000 0.000 0.000 1
Cr2 Cr 0.500 0.500 0.000 1
Tc1 Tc 0.123 0.377 0.000 1
Tc2 Tc 0.377 0.877 0.000 1
Tc3 Tc 0.623 0.123 0.000 1
Tc4 Tc 0.877 0.623 0.000 1
Rh1 Rh 0.173 0.673 0.500 1
Rh2 Rh 0.327 0.173 0.500 1
Rh3 Rh 0.673 0.827 0.500 1
Rh4 Rh 0.827 0.327 0.500 1
```



Entry 3:
## ErHfPd (GGA-PBE)

Data for crystalline ErHfPd at its relaxed geometry.

Output
Energy = -41.0 eV for the cell shown
Theoretical density = 10.1 Mg/m³
Density of states at the Fermi level = 1.0703 states/eV per atom
Energy relative to the elements = -0.270 eV/atom

```
data_ErHfPd
_chemical_formula_sum 'Er2 Hf2 Pd2'
_cell_length_a 8.685
_cell_length_b 8.685
_cell_length_c 8.685
_cell_angle_alpha 30.48
_cell_angle_beta 30.48
_cell_angle_gamma 30.48
_symmetry_space_group_name_H-M 'P 1'
_symmetry_Int_Tables_number 1
loop_
_symmetry_equiv_pos_as_xyz
'x,y,z'
loop_
_atom_site_label
_atom_site_type_symbol
_atom_site_fract_x
_atom_site_fract_y
_atom_site_fract_z
_atom_site_occupancy
Er1 Er 0.121 0.121 0.121 1
Er2 Er 0.879 0.879 0.879 1
Hf1 Hf 0.371 0.371 0.371 1
Hf2 Hf 0.629 0.629 0.629 1
Pd1 Pd 0.262 0.262 0.262 1
Pd2 Pd 0.738 0.738 0.738 1
```



Entry 4:
## Na6Sr2Hg3 (GGA-PBE)

Data for crystalline Na6Sr2Hg3 at its relaxed geometry.

Output
Energy = -14.1 eV for the cell shown
Theoretical density = 4.1 Mg/m³
Density of states at the Fermi level = 0.5303 states/eV per atom
Energy relative to the elements = -0.172 eV/atom

```
data_Na6Sr2Hg3
_chemical_formula_sum 'Na6 Sr2 Hg3'
_cell_length_a 9.787
_cell_length_b 9.787
_cell_length_c 4.428
_cell_angle_alpha 90.00
_cell_angle_beta 90.00
_cell_angle_gamma 120.00
_symmetry_space_group_name_H-M 'P 1'
_symmetry_Int_Tables_number 1
loop_
_symmetry_equiv_pos_as_xyz
'x,y,z'
loop_
_atom_site_label
_atom_site_type_symbol
_atom_site_fract_x
_atom_site_fract_y
_atom_site_fract_z
_atom_site_occupancy
Na1 Na 0.000 0.204 0.000 1
Na2 Na 0.000 0.714 0.500 1
Na3 Na 0.204 0.000 0.000 1
Na4 Na 0.286 0.286 0.500 1
Na5 Na 0.714 0.000 0.500 1
Na6 Na 0.796 0.796 0.000 1
Sr1 Sr 0.333 0.667 0.000 1
Sr2 Sr 0.667 0.333 0.000 1
Hg1 Hg 0.000 0.412 0.500 1
Hg2 Hg 0.412 0.000 0.500 1
Hg3 Hg 0.588 0.588 0.500 1
```



Entry 5:
## Sm2HoAl6 (GGA-PBE)

Data for crystalline Sm2HoAl6 at its relaxed geometry.

Output
Energy = -38.4 eV for the cell shown
Theoretical density = 4.8 Mg/m³
Density of states at the Fermi level = 0.6068 states/eV per atom
Energy relative to the elements = -0.209 eV/atom

```
data_Sm2HoAl6
_chemical_formula_sum 'Sm2 Ho1 Al6'
_cell_length_a 8.024
_cell_length_b 8.024
_cell_length_c 8.024
_cell_angle_alpha 147.98
_cell_angle_beta 126.95
_cell_angle_gamma 63.32
_symmetry_space_group_name_H-M 'P 1'
_symmetry_Int_Tables_number 1
loop_
_symmetry_equiv_pos_as_xyz
'x,y,z'
loop_
_atom_site_label
_atom_site_type_symbol
_atom_site_fract_x
_atom_site_fract_y
_atom_site_fract_z
_atom_site_occupancy
Sm1 Sm 0.124 0.124 0.000 1
Sm2 Sm 0.876 0.876 0.000 1
Ho1 Ho 0.500 0.000 0.500 1
Al1 Al 0.125 0.317 0.809 1
Al2 Al 0.192 0.500 0.692 1
Al3 Al 0.492 0.683 0.809 1
Al4 Al 0.508 0.317 0.191 1
Al5 Al 0.808 0.500 0.308 1
Al6 Al 0.875 0.683 0.191 1
```



Entry 6:
## Rh2AuIN (GGA-PBE)

Data for crystalline Rh2AuIN at its relaxed geometry.

Output
Formation energy from raw total energies = 1412 meV/atom
Energy = -20.8 eV for the cell shown
Theoretical density = 9.1 Mg/m³
Density of states at the Fermi level = 1.2598 states/eV per atom

```
data_Rh2AuIN
_chemical_formula_sum 'Rh2 Au1 I1 N1'
_cell_length_a 5.199
_cell_length_b 5.199
_cell_length_c 3.676
_cell_angle_alpha 90.00
_cell_angle_beta 90.00
_cell_angle_gamma 90.00
_symmetry_space_group_name_H-M 'P 1'
_symmetry_Int_Tables_number 1
loop_
_symmetry_equiv_pos_as_xyz
'x,y,z'
loop_
_atom_site_label
_atom_site_type_symbol
_atom_site_fract_x
_atom_site_fract_y
_atom_site_fract_z
_atom_site_occupancy
Rh1 Rh 0.000 0.500 0.000 1
Rh2 Rh 0.500 0.000 0.000 1
Au1 Au 0.000 0.000 0.000 1
I1 I 0.500 0.500 0.500 1
N1 N 0.000 0.000 0.500 1
```



Entry 7:
## MgCoNi2 (GGA-PBE)

Data for crystalline MgCoNi2 at its relaxed geometry.

Output
Energy = -40.1 eV for the cell shown
Theoretical density = 6.8 Mg/m³
Density of states at the Fermi level = 1.1427 states/eV per atom
Energy relative to the elements = 0.059 eV/atom

```
data_MgCoNi2
_chemical_formula_sum 'Mg2 Co2 Ni4'
_cell_length_a 8.425
_cell_length_b 2.595
_cell_length_c 4.562
_cell_angle_alpha 90.00
_cell_angle_beta 99.52
_cell_angle_gamma 90.00
_symmetry_space_group_name_H-M 'P 1'
_symmetry_Int_Tables_number 1
loop_
_symmetry_equiv_pos_as_xyz
'x,y,z'
loop_
_atom_site_label
_atom_site_type_symbol
_atom_site_fract_x
_atom_site_fract_y
_atom_site_fract_z
_atom_site_occupancy
Mg1 Mg 0.000 0.000 0.000 1
Mg2 Mg 0.500 0.500 0.000 1
Co1 Co 0.000 0.500 0.500 1
Co2 Co 0.500 0.000 0.500 1
Ni1 Ni 0.243 0.000 0.729 1
Ni2 Ni 0.257 0.500 0.271 1
Ni3 Ni 0.743 0.500 0.729 1
Ni4 Ni 0.757 0.000 0.271 1
```



Entry 8:
## CePu2Ge (GGA-PBE)

Data for crystalline CePu2Ge at its relaxed geometry.

Output
Energy = -80.9 eV for the cell shown
Theoretical density = 12.6 Mg/m³
Density of states at the Fermi level = 2.2554 states/eV per atom
Energy relative to the elements = -0.311 eV/atom

```
data_CePu2Ge
_chemical_formula_sum 'Ce2 Pu4 Ge2'
_cell_length_a 4.460
_cell_length_b 4.460
_cell_length_c 9.282
_cell_angle_alpha 90.00
_cell_angle_beta 90.00
_cell_angle_gamma 90.00
_symmetry_space_group_name_H-M 'P 1'
_symmetry_Int_Tables_number 1
loop_
_symmetry_equiv_pos_as_xyz
'x,y,z'
loop_
_atom_site_label
_atom_site_type_symbol
_atom_site_fract_x
_atom_site_fract_y
_atom_site_fract_z
_atom_site_occupancy
Ce1 Ce 0.000 0.000 0.000 1
Ce2 Ce 0.500 0.500 0.500 1
Pu1 Pu 0.000 0.500 0.250 1
Pu2 Pu 0.000 0.500 0.750 1
Pu3 Pu 0.500 0.000 0.250 1
Pu4 Pu 0.500 0.000 0.750 1
Ge1 Ge 0.000 0.000 0.500 1
Ge2 Ge 0.500 0.500 0.000 1
```



Entry 9:
## Mg2Si3 (GGA-PBE)

Data for crystalline Mg2Si3 at its relaxed geometry.

Output
Formation energy from raw total energies = 88 meV/atom
Energy = -76.1 eV for the cell shown
Theoretical density = 2.4 Mg/m³
Density of states at the Fermi level = 0.2367 states/eV per atom

```
data_Mg2Si3
_chemical_formula_sum 'Mg8 Si12'
_cell_length_a 5.550
_cell_length_b 5.550
_cell_length_c 17.550
_cell_angle_alpha 91.94
_cell_angle_beta 91.94
_cell_angle_gamma 42.93
_symmetry_space_group_name_H-M 'P 1'
_symmetry_Int_Tables_number 1
loop_
_symmetry_equiv_pos_as_xyz
'x,y,z'
loop_
_atom_site_label
_atom_site_type_symbol
_atom_site_fract_x
_atom_site_fract_y
_atom_site_fract_z
_atom_site_occupancy
Mg1 Mg 0.035 0.035 0.306 1
Mg2 Mg 0.137 0.137 0.525 1
Mg3 Mg 0.346 0.346 0.961 1
Mg4 Mg 0.393 0.393 0.172 1
Mg5 Mg 0.607 0.607 0.828 1
Mg6 Mg 0.654 0.654 0.039 1
Mg7 Mg 0.863 0.863 0.475 1
Mg8 Mg 0.965 0.965 0.694 1
Si1 Si 0.068 0.068 0.944 1
Si2 Si 0.098 0.098 0.155 1
Si3 Si 0.272 0.272 0.664 1
Si4 Si 0.298 0.298 0.800 1
Si5 Si 0.358 0.358 0.340 1
Si6 Si 0.446 0.446 0.575 1
Si7 Si 0.554 0.554 0.425 1
Si8 Si 0.642 0.642 0.660 1
Si9 Si 0.702 0.702 0.200 1
Si10 Si 0.728 0.728 0.336 1
Si11 Si 0.902 0.902 0.845 1
Si12 Si 0.932 0.932 0.056 1
```



Entry 10:
## UGa12Cu6 (GGA-PBE)

Data for crystalline UGa12Cu6 at its relaxed geometry.

Output
Energy = -72.0 eV for the cell shown
Theoretical density = 7.6 Mg/m³
Density of states at the Fermi level = 0.6029 states/eV per atom
Energy relative to the elements = 0.009 eV/atom

```
data_UGa12Cu6
_chemical_formula_sum 'U1 Ga12 Cu6'
_cell_length_a 7.110
_cell_length_b 7.110
_cell_length_c 7.110
_cell_angle_alpha 104.61
_cell_angle_beta 104.61
_cell_angle_gamma 104.61
_symmetry_space_group_name_H-M 'P 1'
_symmetry_Int_Tables_number 1
loop_
_symmetry_equiv_pos_as_xyz
'x,y,z'
loop_
_atom_site_label
_atom_site_type_symbol
_atom_site_fract_x
_atom_site_fract_y
_atom_site_fract_z
_atom_site_occupancy
U1 U 0.000 0.000 0.000 1
Ga1 Ga 0.112 0.500 0.888 1
Ga2 Ga 0.112 0.888 0.500 1
Ga3 Ga 0.140 0.392 0.392 1
Ga4 Ga 0.392 0.140 0.392 1
Ga5 Ga 0.392 0.392 0.140 1
Ga6 Ga 0.500 0.112 0.888 1
Ga7 Ga 0.500 0.888 0.112 1
Ga8 Ga 0.608 0.608 0.860 1
Ga9 Ga 0.608 0.860 0.608 1
Ga10 Ga 0.860 0.608 0.608 1
Ga11 Ga 0.888 0.112 0.500 1
Ga12 Ga 0.888 0.500 0.112 1
Cu1 Cu 0.287 0.709 0.709 1
Cu2 Cu 0.291 0.291 0.713 1
Cu3 Cu 0.291 0.713 0.291 1
Cu4 Cu 0.709 0.287 0.709 1
Cu5 Cu 0.709 0.709 0.287 1
Cu6 Cu 0.713 0.291 0.291 1
```